<i>
The following is a DFT calculation (PBE) of Er2Cd2O5 after structural relaxation.

Unit cell a=4.188 b=4.188 c=7.198 alpha=90.00 beta=90.00 gamma=90.00
Atoms (fractional coordinates):
Er 0.000 0.000 0.000
Er 0.000 0.000 0.500
Cd 0.500 0.500 0.204
Cd 0.500 0.500 0.796
O 0.000 0.500 0.194
O 0.000 0.500 0.806
O 0.500 0.000 0.194
O 0.500 0.000 0.806
O 0.500 0.500 0.500


<ii>
The following is a DFT calculation (PBE) of Er2Cd2O5 after structural relaxation.

Unit cell a=4.092 b=4.092 c=8.348 alpha=90.00 beta=90.00 gamma=90.00
Atoms (fractional coordinates):
Er 0.000 0.000 0.243
Er 0.000 0.000 0.757
Cd 0.500 0.500 0.000
Cd 0.500 0.500 0.500
O 0.000 0.000 0.500
O 0.000 0.500 0.169
O 0.000 0.500 0.831
O 0.500 0.000 0.169
O 0.500 0.000 0.831


The most stable of them is <ii>.


<i>
The following is a DFT calculation (PBE) of PrErCd6 after structural relaxation.

Unit cell a=5.085 b=5.085 c=7.273 alpha=90.00 beta=90.00 gamma=90.00
Atoms (fractional coordinates):
Pr 0.000 0.000 0.000
Er 0.500 0.500 0.500
Cd 0.000 0.000 0.500
Cd 0.000 0.500 0.259
Cd 0.000 0.500 0.741
Cd 0.500 0.000 0.259
Cd 0.500 0.000 0.741
Cd 0.500 0.500 0.000


<ii>
The following is a DFT calculation (PBE) of PrErCd6 after structural relaxation.

Unit cell a=4.857 b=6.491 c=6.491 alpha=67.46 beta=90.00 gamma=90.00
Atoms (fractional coordinates):
Pr 0.000 0.000 0.000
Er 0.500 0.730 0.730
Cd 0.000 0.055 0.486
Cd 0.000 0.486 0.055
Cd 0.000 0.544 0.544
Cd 0.500 0.196 0.196
Cd 0.500 0.249 0.670
Cd 0.500 0.670 0.249


The most stable of them is <i>.


<i>
The following is a DFT calculation (PBE) of ErCdRe after structural relaxation.

Unit cell a=4.626 b=4.626 c=4.626 alpha=60.00 beta=60.00 gamma=60.00
Atoms (fractional coordinates):
Er 0.000 0.000 0.000
Cd 0.250 0.250 0.250
Re 0.500 0.500 0.500


<ii>
The following is a DFT calculation (PBE) of ErCdRe after structural relaxation.

Unit cell a=4.751 b=4.751 c=4.751 alpha=60.00 beta=60.00 gamma=60.00
Atoms (fractional coordinates):
Er 0.000 0.000 0.000
Cd 0.750 0.750 0.750
Re 0.250 0.250 0.250


The most stable of them is <i>.


<i>
The following is a DFT calculation (PBE) of ErCdSb after structural relaxation.

Unit cell a=5.052 b=5.052 c=5.052 alpha=60.00 beta=60.00 gamma=60.00
Atoms (fractional coordinates):
Er 0.000 0.000 0.000
Cd 0.750 0.750 0.750
Sb 0.250 0.250 0.250


<ii>
The following is a DFT calculation (PBE) of ErCdSb after structural relaxation.

Unit cell a=4.994 b=4.994 c=4.994 alpha=60.00 beta=60.00 gamma=60.00
Atoms (fractional coordinates):
Er 0.000 0.000 0.000
Cd 0.500 0.500 0.500
Sb 0.750 0.750 0.750


The most stable of them is <i>.


<i>
The following is a DFT calculation (PBE) of ErTlCdSe3 after structural relaxation.

Unit cell a=12.360 b=4.248 c=12.766 alpha=90.00 beta=90.00 gamma=90.00
Atoms (fractional coordinates):
Er 0.032 0.250 0.166
Er 0.468 0.750 0.666
Er 0.532 0.250 0.334
Er 0.968 0.750 0.834
Tl 0.155 0.250 0.503
Tl 0.345 0.750 0.003
Tl 0.655 0.250 0.997
Tl 0.845 0.750 0.497
Cd 0.250 0.250 0.799
Cd 0.250 0.750 0.299
Cd 0.750 0.250 0.701
Cd 0.750 0.750 0.201
Se 0.034 0.750 0.323
Se 0.089 0.250 0.935
Se 0.240 0.750 0.671
Se 0.260 0.250 0.171
Se 0.411 0.750 0.435
Se 0.466 0.250 0.823
Se 0.534 0.750 0.177
Se 0.589 0.250 0.565
Se 0.740 0.750 0.829
Se 0.760 0.250 0.329
Se 0.911 0.750 0.065
Se 0.966 0.250 0.677


<ii>
The following is a DFT calculation (PBE) of ErTlCdSe3 after structural relaxation.

Unit cell a=7.651 b=7.651 c=11.072 alpha=90.00 beta=90.00 gamma=148.03
Atoms (fractional coordinates):
Er 0.000 0.000 0.000
Er 0.000 0.000 0.500
Tl 0.253 0.747 0.750
Tl 0.747 0.253 0.250
Cd 0.456 0.544 0.250
Cd 0.544 0.456 0.750
Se 0.070 0.930 0.250
Se 0.369 0.631 0.044
Se 0.369 0.631 0.456
Se 0.631 0.369 0.544
Se 0.631 0.369 0.956
Se 0.930 0.070 0.750


The most stable of them is <ii>.


<i>
The following is a DFT calculation (PBE) of ErCdW after structural relaxation.

Unit cell a=4.818 b=4.818 c=4.818 alpha=60.00 beta=60.00 gamma=60.00
Atoms (fractional coordinates):
Er 0.000 0.000 0.000
Cd 0.750 0.750 0.750
W 0.250 0.250 0.250


<ii>
The following is a DFT calculation (PBE) of ErCdW after structural relaxation.

Unit cell a=4.668 b=4.668 c=4.668 alpha=60.00 beta=60.00 gamma=60.00
Atoms (fractional coordinates):
Er 0.000 0.000 0.000
Cd 0.250 0.250 0.250
W 0.500 0.500 0.500


The most stable of them is <ii>.


<i>
The following is a DFT calculation (PBE) of YErCd6 after structural relaxation.

Unit cell a=5.046 b=5.046 c=7.147 alpha=90.00 beta=90.00 gamma=90.00
Atoms (fractional coordinates):
Y 0.000 0.000 0.000
Er 0.500 0.500 0.500
Cd 0.000 0.000 0.500
Cd 0.000 0.500 0.252
Cd 0.000 0.500 0.748
Cd 0.500 0.000 0.252
Cd 0.500 0.000 0.748
Cd 0.500 0.500 0.000


<ii>
The following is a DFT calculation (PBE) of YErCd6 after structural relaxation.

Unit cell a=4.833 b=6.434 c=6.434 alpha=67.48 beta=90.00 gamma=90.00
Atoms (fractional coordinates):
Y 0.000 0.000 0.000
Er 0.500 0.734 0.734
Cd 0.000 0.056 0.487
Cd 0.000 0.487 0.056
Cd 0.000 0.544 0.544
Cd 0.500 0.192 0.192
Cd 0.500 0.249 0.677
Cd 0.500 0.677 0.249


The most stable of them is <ii>.


<i>
The following is a DFT calculation (PBE) of CdHOF after structural relaxation.

Unit cell a=3.510 b=3.510 c=8.587 alpha=90.00 beta=90.00 gamma=120.00
Atoms (fractional coordinates):
Cd 0.333 0.667 0.000
Cd 0.667 0.333 0.500
H 0.000 0.000 0.217
H 0.000 0.000 0.717
O 0.000 0.000 0.103
O 0.000 0.000 0.603
F 0.333 0.667 0.356
F 0.667 0.333 0.856


<ii>
The following is a DFT calculation (PBE) of CdHOF after structural relaxation.

Unit cell a=4.752 b=5.578 c=6.794 alpha=90.00 beta=90.00 gamma=90.00
Atoms (fractional coordinates):
Cd 0.235 0.017 0.127
Cd 0.265 0.983 0.627
Cd 0.735 0.483 0.873
Cd 0.765 0.517 0.373
H 0.179 0.485 0.118
H 0.321 0.515 0.618
H 0.679 0.015 0.882
H 0.821 0.985 0.382
O 0.013 0.377 0.122
O 0.487 0.623 0.622
O 0.513 0.123 0.878
O 0.987 0.877 0.378
F 0.039 0.352 0.625
F 0.461 0.648 0.125
F 0.539 0.148 0.375
F 0.961 0.852 0.875


The most stable of them is <ii>.


<i>
The following is a DFT calculation (PBE) of K2LiCdF6 after structural relaxation.

Unit cell a=10.261 b=10.261 c=10.261 alpha=31.87 beta=31.87 gamma=31.87
Atoms (fractional coordinates):
K 0.124 0.124 0.124
K 0.288 0.288 0.288
K 0.712 0.712 0.712
K 0.876 0.876 0.876
Li 0.410 0.410 0.410
Li 0.590 0.590 0.590
Cd 0.000 0.000 0.000
Cd 0.500 0.500 0.500
F 0.114 0.626 0.626
F 0.216 0.216 0.696
F 0.216 0.696 0.216
F 0.304 0.784 0.784
F 0.374 0.374 0.886
F 0.374 0.886 0.374
F 0.626 0.114 0.626
F 0.626 0.626 0.114
F 0.696 0.216 0.216
F 0.784 0.304 0.784
F 0.784 0.784 0.304
F 0.886 0.374 0.374


<ii>
The following is a DFT calculation (PBE) of K2LiCdF6 after structural relaxation.

Unit cell a=5.733 b=5.733 c=5.733 alpha=60.07 beta=60.07 gamma=60.07
Atoms (fractional coordinates):
K 0.250 0.250 0.250
K 0.750 0.750 0.750
Li 0.000 0.000 0.000
Cd 0.500 0.500 0.500
F 0.239 0.239 0.760
F 0.239 0.760 0.239
F 0.240 0.761 0.761
F 0.760 0.239 0.239
F 0.761 0.240 0.761
F 0.761 0.761 0.240


<iii>
The following is a DFT calculation (PBE) of K2LiCdF6 after structural relaxation.

Unit cell a=5.715 b=5.715 c=5.715 alpha=59.81 beta=59.81 gamma=59.81
Atoms (fractional coordinates):
K 0.250 0.250 0.250
K 0.750 0.750 0.750
Li 0.000 0.000 0.000
Cd 0.500 0.500 0.500
F 0.238 0.240 0.761
F 0.239 0.762 0.760
F 0.240 0.761 0.238
F 0.760 0.239 0.762
F 0.761 0.238 0.240
F 0.762 0.760 0.239


The most stable of them is <ii>.


<i>
The following is a DFT calculation (PBE) of Cd2PO4F after structural relaxation.

Unit cell a=7.664 b=7.664 c=10.456 alpha=117.91 beta=117.91 gamma=51.70
Atoms (fractional coordinates):
Cd 0.195 0.712 0.525
Cd 0.237 0.445 0.156
Cd 0.288 0.805 0.975
Cd 0.445 0.237 0.656
Cd 0.555 0.763 0.344
Cd 0.712 0.195 0.025
Cd 0.763 0.555 0.844
Cd 0.805 0.288 0.475
P 0.093 0.259 0.307
P 0.259 0.093 0.807
P 0.741 0.907 0.193
P 0.907 0.741 0.693
O 0.073 0.111 0.144
O 0.106 0.261 0.919
O 0.111 0.073 0.644
O 0.148 0.596 0.662
O 0.171 0.416 0.329
O 0.261 0.106 0.419
O 0.404 0.852 0.838
O 0.416 0.171 0.829
O 0.584 0.829 0.171
O 0.596 0.148 0.162
O 0.739 0.894 0.581
O 0.829 0.584 0.671
O 0.852 0.404 0.338
O 0.889 0.927 0.356
O 0.894 0.739 0.081
O 0.927 0.889 0.856
F 0.395 0.572 0.106
F 0.428 0.605 0.394
F 0.572 0.395 0.606
F 0.605 0.428 0.894


<ii>
The following is a DFT calculation (PBE) of Cd2PO4F after structural relaxation.

Unit cell a=7.704 b=7.704 c=10.536 alpha=117.62 beta=117.62 gamma=51.54
Atoms (fractional coordinates):
Cd 0.189 0.710 0.517
Cd 0.241 0.442 0.153
Cd 0.290 0.811 0.983
Cd 0.442 0.241 0.653
Cd 0.558 0.759 0.347
Cd 0.710 0.189 0.017
Cd 0.759 0.558 0.847
Cd 0.811 0.290 0.483
P 0.088 0.263 0.306
P 0.263 0.088 0.806
P 0.737 0.912 0.194
P 0.912 0.737 0.694
O 0.062 0.118 0.144
O 0.108 0.269 0.914
O 0.118 0.062 0.644
O 0.144 0.595 0.655
O 0.153 0.426 0.320
O 0.269 0.108 0.414
O 0.405 0.856 0.845
O 0.426 0.153 0.820
O 0.574 0.847 0.180
O 0.595 0.144 0.155
O 0.731 0.892 0.586
O 0.847 0.574 0.680
O 0.856 0.405 0.345
O 0.882 0.938 0.356
O 0.892 0.731 0.086
O 0.938 0.882 0.856
F 0.401 0.570 0.108
F 0.430 0.599 0.392
F 0.570 0.401 0.608
F 0.599 0.430 0.892


The most stable of them is <ii>.